# 1
# Ga2PbC PBE relaxed
# **Size of the total moment**: 0.0 μB per cell
# **Crystal system**: tetragonal
# **Energy of formation**: 2.1 eV/f.u.
# **Energy above the lowest structure with this stoichiometry**: 0.0 kJ/mol of atoms
# **Space group**: I-42d, No. 122
data_Ga2PbC
_cell_length_a 5.867
_cell_length_b 5.867
_cell_length_c 6.279
_cell_angle_alpha 62.15
_cell_angle_beta 62.15
_cell_angle_gamma 90.00
_symmetry_space_group_name_H-M 'P 1'
_symmetry_Int_Tables_number 1
_symmetry_space_group_name_Hall 'P 1'
loop_
_atom_site_label
_atom_site_type_symbol
_atom_site_fract_x
_atom_site_fract_y
_atom_site_fract_z
Pb1 Pb 0.000 0.000 0.000
Pb2 Pb 0.750 0.250 0.500
C1 C 0.500 0.500 0.000
C2 C 0.250 0.750 0.500
Ga1 Ga 0.498 0.125 0.250
Ga2 Ga 0.252 0.625 0.250
Ga3 Ga 0.375 0.502 0.750
Ga4 Ga 0.875 0.748 0.750

# 2
# GaPb2C PBE relaxed
# **Size of the total moment**: 0.0 μB per cell
# **Crystal system**: cubic
# **Energy of formation**: 5.2 eV/f.u.
# **Energy above the lowest structure with this stoichiometry**: 35.9 kJ/mol of atoms
# **Space group**: Fm-3m, No. 225
data_GaPb2C
_cell_length_a 4.992
_cell_length_b 4.992
_cell_length_c 4.992
_cell_angle_alpha 60.00
_cell_angle_beta 60.00
_cell_angle_gamma 60.00
_symmetry_space_group_name_H-M 'P 1'
_symmetry_Int_Tables_number 1
_symmetry_space_group_name_Hall 'P 1'
loop_
_atom_site_label
_atom_site_type_symbol
_atom_site_fract_x
_atom_site_fract_y
_atom_site_fract_z
Pb1 Pb 0.250 0.250 0.250
Pb2 Pb 0.750 0.750 0.750
C1 C 0.000 0.000 0.000
Ga1 Ga 0.500 0.500 0.500

# 3
# Ga2PbC PBE relaxed
# **Size of the total moment**: 0.0 μB per cell
# **Crystal system**: cubic
# **Energy of formation**: 5.5 eV/f.u.
# **Energy above the lowest structure with this stoichiometry**: 83.6 kJ/mol of atoms
# **Space group**: Fm-3m, No. 225
data_Ga2PbC
_cell_length_a 4.788
_cell_length_b 4.788
_cell_length_c 4.788
_cell_angle_alpha 60.00
_cell_angle_beta 60.00
_cell_angle_gamma 60.00
_symmetry_space_group_name_H-M 'P 1'
_symmetry_Int_Tables_number 1
_symmetry_space_group_name_Hall 'P 1'
loop_
_atom_site_label
_atom_site_type_symbol
_atom_site_fract_x
_atom_site_fract_y
_atom_site_fract_z
Pb1 Pb 0.500 0.500 0.500
C1 C 0.000 0.000 0.000
Ga1 Ga 0.250 0.250 0.250
Ga2 Ga 0.750 0.750 0.750